(1)
VASP calculation (GGA-PBE) on a relaxed CaAu2Br crystal.

- symmetry = No. 8
- total energy (eV per atom) = -3.368
- ΔE to the lowest computed polymorph (meV/atom) = 73

The structure in POSCAR format:
```
CaAu2Br
1.0
-1.532 2.204 -3.723
-4.468 0.949 -0.456
-0.859 6.753 1.823
Au Br Ca
2 1 1
Direct
0.688 0.688 0.917 Au
0.014 0.014 0.937 Au
0.532 0.532 0.437 Br
0.267 0.267 0.209 Ca
```


(2)
VASP calculation (GGA-PBE) on a relaxed Al7As crystal.

- symmetry = No. 225
- total energy (eV per atom) = -3.781
- ΔH_f (0 K) (kJ/mol of formula units) = 58

The structure in POSCAR format:
```
Al7As
1.0
0.000 4.088 4.088
4.088 0.000 4.088
4.088 4.088 0.000
Al As
7 1
Direct
0.500 0.500 0.500 Al
0.500 0.500 0.000 Al
0.500 0.000 0.000 Al
0.000 0.000 0.500 Al
0.000 0.500 0.500 Al
0.500 0.000 0.500 Al
0.000 0.500 0.000 Al
0.000 0.000 0.000 As
```


(3)
VASP calculation (GGA-PBE) on a relaxed ScNbH crystal.

- symmetry = No. 166
- total energy (eV per atom) = -6.658

The structure in POSCAR format:
```
ScNbH
1.0
-0.602 -2.310 2.180
2.333 -0.964 2.020
-2.152 5.615 7.753
H Nb Sc
2 2 2
Direct
0.760 0.760 0.721 H
0.240 0.240 0.279 H
0.131 0.131 0.606 Nb
0.869 0.869 0.394 Nb
0.618 0.618 0.146 Sc
0.382 0.382 0.854 Sc
```


(4)
VASP calculation (GGA-PBE) on a relaxed TlTcHgCl2 crystal.

- symmetry = No. 123
- total energy (eV per atom) = -3.398

The structure in POSCAR format:
```
TlTcHgCl2
1.0
4.848 0.000 0.000
0.000 5.580 0.000
0.000 0.000 4.848
Hg Tc Cl Tl
1 1 2 1
Direct
0.000 0.500 0.000 Hg
0.000 0.000 0.000 Tc
0.500 0.000 0.000 Cl
0.000 0.000 0.500 Cl
0.500 0.500 0.500 Tl
```


(5)
VASP calculation (GGA-PBE) on a relaxed TbGd2In crystal.

- symmetry = No. 123
- total energy (eV per atom) = -9.110
- ΔE to the lowest computed polymorph (meV/atom) = 68
- ΔH_f (0 K) (kJ/mol of formula units) = -88

The structure in POSCAR format:
```
TbGd2In
1.0
3.594 0.000 0.000
0.000 3.594 0.000
0.000 0.000 9.303
Gd Tb In
2 1 1
Direct
0.000 0.000 0.228 Gd
0.000 0.000 0.772 Gd
0.500 0.500 0.500 Tb
0.500 0.500 0.000 In
```


(6)
VASP calculation (GGA-PBE) on a relaxed In2AgRh crystal.

- symmetry = No. 123
- total energy (eV per atom) = -4.081
- ΔH_f (0 K) (kJ/mol of formula units) = -62

The structure in POSCAR format:
```
In2AgRh
1.0
-1.805 -2.617 -0.921
-0.458 -0.800 3.168
-5.679 3.862 0.154
Rh In Ag
1 2 1
Direct
0.500 0.500 0.500 Rh
0.000 0.000 0.730 In
0.000 0.000 0.270 In
0.500 0.500 0.000 Ag
```